{
  "formula": "YAlBiAu2",
  "functional": "GGA-PBE",
  "state": "optimized geometry",
  "lattice": [[-0.507, -1.765, 5.046], [4.753, -2.275, -0.318], [2.281, 4.513, 1.808]],
  "species": ["Al", "Au", "Bi", "Au", "Y"],
  "frac_coords": [[0.000, 0.500, 0.000], [0.000, 0.000, 0.500], [0.000, 0.000, 0.000], [0.500, 0.000, 0.000], [0.500, 0.500, 0.500]],
  "formation_energy_ev_per_fu": 2.53
}

{
  "formula": "LaPa2RhN4",
  "functional": "GGA-PBE",
  "state": "optimized geometry",
  "lattice": [[3.571, 0.000, 0.000], [-1.786, 5.826, 0.000], [0.000, 0.000, 11.773]],
  "species": ["Rh", "N", "Rh", "Pa", "La", "N", "N", "Pa", "N", "N", "N", "Pa", "N", "La", "Pa", "N"],
  "frac_coords": [[0.842, 0.684, 0.750], [0.000, 0.000, 0.000], [0.158, 0.316, 0.250], [0.632, 0.263, 0.438], [0.105, 0.210, 0.750], [0.000, 0.000, 0.500], [0.732, 0.464, 0.901], [0.632, 0.263, 0.062], [0.268, 0.536, 0.099], [0.542, 0.085, 0.250], [0.458, 0.915, 0.750], [0.368, 0.737, 0.562], [0.732, 0.464, 0.599], [0.895, 0.790, 0.250], [0.368, 0.737, 0.938], [0.268, 0.536, 0.401]],
  "raw_formation_energy_mev_per_atom": -1323.5
}

{
  "formula": "InIrPb2O6",
  "functional": "GGA-PBE",
  "state": "optimized geometry",
  "lattice": [[5.752, 0.000, -0.028], [0.000, 5.843, 0.000], [0.010, 0.000, 8.150]],
  "species": ["O", "In", "Pb", "O", "O", "O", "In", "O", "O", "O", "O", "O", "Ir", "O", "O", "Pb", "Pb", "Pb", "O", "Ir"],
  "frac_coords": [[0.194, 0.224, 0.051], [0.000, 0.500, 0.500], [0.010, 0.961, 0.251], [0.778, 0.802, 0.547], [0.278, 0.698, 0.047], [0.222, 0.198, 0.453], [0.500, 0.000, 0.000], [0.722, 0.302, 0.953], [0.694, 0.276, 0.551], [0.092, 0.464, 0.763], [0.408, 0.964, 0.737], [0.908, 0.536, 0.237], [0.500, 0.000, 0.500], [0.306, 0.724, 0.449], [0.592, 0.036, 0.263], [0.490, 0.461, 0.249], [0.990, 0.039, 0.749], [0.510, 0.539, 0.751], [0.806, 0.776, 0.949], [0.000, 0.500, 0.000]],
  "raw_formation_energy_mev_per_atom": -1035.6
}

{
  "formula": "CaLa4Sn4",
  "functional": "GGA-PBE",
  "state": "optimized geometry",
  "lattice": [[-4.216, -1.725, 4.808], [7.553, -2.572, 5.701], [0.382, 9.111, 3.605]],
  "species": ["Sn", "La", "Sn", "Ca", "Sn", "Sn", "Ca", "Sn", "La", "La", "La", "Sn", "Sn", "La", "La", "Sn", "La", "La"],
  "frac_coords": [[0.641, 0.767, 0.379], [0.136, 0.189, 0.590], [0.141, 0.121, 0.267], [0.500, 0.500, 0.500], [0.359, 0.621, 0.767], [0.859, 0.733, 0.121], [0.000, 0.000, 0.000], [0.859, 0.267, 0.879], [0.864, 0.410, 0.189], [0.864, 0.590, 0.811], [0.364, 0.689, 0.090], [0.141, 0.879, 0.733], [0.359, 0.379, 0.233], [0.136, 0.811, 0.410], [0.636, 0.910, 0.689], [0.641, 0.233, 0.621], [0.364, 0.311, 0.910], [0.636, 0.090, 0.311]],
  "formation_energy_ev_per_fu": -4.97
}

{
  "formula": "SrAcIrN2",
  "functional": "GGA-PBE",
  "state": "optimized geometry",
  "lattice": [[5.700, 0.000, 0.000], [0.000, 5.301, 0.624], [0.000, -0.861, 7.290]],
  "species": ["Ac", "N", "Ac", "N", "Ir", "N", "Sr", "Ir", "Sr", "N"],
  "frac_coords": [[0.500, 0.000, 0.250], [0.260, 0.234, 0.000], [0.500, 0.000, 0.750], [0.740, 0.234, 0.500], [0.000, 0.000, 0.000], [0.740, 0.766, 0.000], [0.000, 0.500, 0.250], [0.000, 0.000, 0.500], [0.000, 0.500, 0.750], [0.260, 0.766, 0.500]],
  "raw_formation_energy_mev_per_atom": -472.8
}

{
  "formula": "BaSc2Br",
  "functional": "GGA-PBE",
  "state": "optimized geometry",
  "lattice": [[6.092, -0.017, 0.000], [1.916, 5.783, 0.000], [-4.004, -2.883, 3.574]],
  "species": ["Ba", "Br", "Sc", "Sc"],
  "frac_coords": [[0.500, 0.500, 0.000], [0.250, 0.750, 0.500], [0.750, 0.250, 0.500], [0.000, 0.000, 0.000]],
  "raw_formation_energy_mev_per_atom": 107.9,
  "e_above_lowest_polymorph_ev_per_atom": 0.4986
}

{
  "formula": "Rb2SnAu5",
  "functional": "GGA-PBE",
  "state": "optimized geometry",
  "lattice": [[6.157, -0.642, -3.685], [-4.040, 5.922, 0.245], [-0.478, 0.669, 7.126]],
  "species": ["Au", "Sn", "Au", "Rb", "Au", "Au", "Rb", "Au"],
  "frac_coords": [[0.000, 0.265, 0.698], [0.000, 0.045, 0.045], [0.563, 0.262, 0.262], [0.500, 0.230, 0.729], [0.000, 0.296, 0.296], [0.000, 0.698, 0.264], [0.500, 0.730, 0.230], [0.437, 0.699, 0.699]],
  "formation_energy_ev_per_fu": -1.83
}

{
  "formula": "NaCa2In2",
  "functional": "GGA-PBE",
  "state": "optimized geometry",
  "lattice": [[-1.136, -3.415, -2.570], [4.225, -0.494, -1.210], [2.864, -7.592, 5.018]],
  "species": ["Ca", "Na", "In", "In", "Ca"],
  "frac_coords": [[0.388, 0.388, 0.224], [0.000, 0.000, 0.000], [0.250, 0.750, 0.500], [0.750, 0.250, 0.500], [0.612, 0.612, 0.776]],
  "e_above_lowest_polymorph_ev_per_atom": 0.2737,
  "formation_energy_ev_per_fu": -0.20
}

{
  "formula": "InGeCl3",
  "functional": "GGA-PBE",
  "state": "optimized geometry",
  "lattice": [[4.065, -2.347, 0.000], [0.000, 4.694, 0.000], [0.000, 0.000, 17.522]],
  "species": ["Cl", "In", "Cl", "In", "Cl", "Cl", "Cl", "Ge", "Ge", "Cl"],
  "frac_coords": [[0.333, 0.667, 0.939], [0.333, 0.667, 0.750], [0.667, 0.333, 0.439], [0.667, 0.333, 0.250], [0.667, 0.333, 0.061], [0.000, 0.000, 0.750], [0.000, 0.000, 0.250], [0.000, 0.000, 0.000], [0.000, 0.000, 0.500], [0.333, 0.667, 0.561]],
  "raw_formation_energy_mev_per_atom": -536.6
}

{
  "formula": "Li2LaDySe4",
  "functional": "GGA-PBE",
  "state": "optimized geometry",
  "lattice": [[-0.316, 4.007, -1.169], [-6.977, -1.049, -1.708], [0.593, 1.979, 6.621]],
  "species": ["Li", "La", "Se", "Dy", "Se", "Li", "Se", "Se"],
  "frac_coords": [[0.500, 0.000, 0.500], [0.000, 0.000, 0.000], [0.500, 0.736, 0.741], [0.500, 0.500, 0.000], [0.500, 0.264, 0.259], [0.000, 0.500, 0.500], [0.000, 0.741, 0.255], [0.000, 0.259, 0.745]],
  "raw_formation_energy_mev_per_atom": -1703.6
}

{
  "formula": "Ac2Cd7Ag",
  "functional": "GGA-PBE",
  "state": "optimized geometry",
  "lattice": [[4.770, 0.000, 0.000], [0.000, 4.770, 0.000], [0.000, 0.000, 11.875]],
  "species": ["Ag", "Ac", "Cd", "Cd", "Cd", "Cd", "Ac", "Cd", "Cd", "Cd"],
  "frac_coords": [[0.500, 0.500, 0.000], [0.500, 0.000, 0.753], [0.000, 0.500, 0.636], [0.000, 0.500, 0.869], [0.500, 0.500, 0.500], [0.500, 0.000, 0.131], [0.000, 0.500, 0.247], [0.500, 0.000, 0.364], [0.000, 0.000, 0.000], [0.000, 0.000, 0.500]],
  "formation_energy_ev_per_fu": -2.30
}

{
  "formula": "Na2CaAlO4",
  "functional": "GGA-PBE",
  "state": "optimized geometry",
  "lattice": [[3.133, 0.000, 0.000], [0.000, 5.607, 0.072], [0.000, -1.981, 5.433]],
  "species": ["Na", "Ca", "O", "O", "O", "O", "Na", "Al"],
  "frac_coords": [[0.000, 0.500, 0.500], [0.500, 0.500, 0.000], [0.000, 0.790, 0.200], [0.500, 0.207, 0.200], [0.000, 0.210, 0.800], [0.500, 0.793, 0.800], [0.500, 0.000, 0.500], [0.000, 0.000, 0.000]],
  "raw_formation_energy_mev_per_atom": -2093.6
}

{
  "formula": "MgScTi2O",
  "functional": "GGA-PBE",
  "state": "optimized geometry",
  "lattice": [[-0.770, 3.223, 2.574], [-3.968, -1.294, 0.432], [1.189, -2.488, 3.472]],
  "species": ["Ti", "O", "Mg", "Sc", "Ti"],
  "frac_coords": [[0.500, 0.000, 0.000], [0.000, 0.000, 0.000], [0.500, 0.500, 0.500], [0.000, 0.000, 0.500], [0.000, 0.500, 0.000]],
  "raw_formation_energy_mev_per_atom": -1051.9
}

{
  "formula": "TbLuMo4",
  "functional": "GGA-PBE",
  "state": "optimized geometry",
  "lattice": [[5.501, 0.000, 0.000], [2.750, 4.764, 0.000], [2.750, 1.588, 4.491]],
  "species": ["Tb", "Mo", "Mo", "Mo", "Mo", "Lu"],
  "frac_coords": [[0.250, 0.250, 0.250], [0.625, 0.625, 0.125], [0.125, 0.625, 0.625], [0.625, 0.625, 0.625], [0.625, 0.125, 0.625], [0.000, 0.000, 0.000]],
  "formation_energy_ev_per_fu": 0.41
}

{
  "formula": "AlCu2",
  "functional": "GGA-PBE",
  "state": "optimized geometry",
  "lattice": [[8.432, 1.553, 1.345], [6.335, 5.741, 1.494], [-7.280, -4.675, 0.683]],
  "species": ["Cu", "Cu", "Al", "Cu", "Al", "Cu"],
  "frac_coords": [[0.792, 0.042, 0.750], [0.937, 0.187, 0.750], [0.636, 0.386, 0.250], [0.063, 0.813, 0.250], [0.364, 0.614, 0.750], [0.208, 0.958, 0.250]],
  "formation_energy_ev_per_fu": -0.06
}

{
  "formula": "CsNpInSe4",
  "functional": "GGA-PBE",
  "state": "optimized geometry",
  "lattice": [[6.912, 0.000, -1.219], [0.000, 7.267, 0.000], [-4.378, 0.000, 10.283]],
  "species": ["Se", "Cs", "Np", "Se", "In", "Se", "Se", "Np", "Se", "In", "Se", "Se", "Cs", "Se"],
  "frac_coords": [[0.559, 0.750, 0.600], [0.662, 0.750, 0.944], [0.779, 0.750, 0.453], [0.096, 0.990, 0.690], [0.803, 0.250, 0.652], [0.441, 0.250, 0.400], [0.904, 0.490, 0.310], [0.221, 0.250, 0.547], [0.904, 0.010, 0.310], [0.197, 0.750, 0.348], [0.346, 0.750, 0.183], [0.096, 0.510, 0.690], [0.338, 0.250, 0.056], [0.654, 0.250, 0.817]],
  "raw_formation_energy_mev_per_atom": -915.1
}

{
  "formula": "TmZr2Sc8",
  "functional": "GGA-PBE",
  "state": "optimized geometry",
  "lattice": [[5.143, 1.709, 0.000], [2.712, 7.951, 0.000], [1.356, 3.976, 7.539]],
  "species": ["Zr", "Sc", "Sc", "Sc", "Zr", "Sc", "Sc", "Tm", "Sc", "Sc", "Sc"],
  "frac_coords": [[0.000, 0.308, 0.383], [0.718, 0.552, 0.000], [0.804, 0.351, 0.747], [0.196, 0.649, 0.253], [0.000, 0.692, 0.617], [0.196, 0.902, 0.747], [0.282, 0.448, 0.000], [0.500, 0.000, 0.000], [0.804, 0.098, 0.253], [0.500, 0.792, 0.416], [0.500, 0.208, 0.584]],
  "e_above_lowest_polymorph_ev_per_atom": 0.1153,
  "formation_energy_ev_per_fu": 1.63
}

{
  "formula": "Hf3MgOs",
  "functional": "GGA-PBE",
  "state": "optimized geometry",
  "lattice": [[-2.401, -4.436, -0.025], [4.251, -2.292, -1.455], [1.269, -0.714, 4.829]],
  "species": ["Hf", "Hf", "Mg", "Hf", "Os"],
  "frac_coords": [[0.000, 0.500, 0.000], [0.000, 0.000, 0.500], [0.500, 0.500, 0.500], [0.500, 0.000, 0.000], [0.000, 0.000, 0.000]],
  "e_above_lowest_polymorph_ev_per_atom": 0.0000,
  "formation_energy_ev_per_fu": 1.87
}

{
  "formula": "FeMo2Cl",
  "functional": "GGA-PBE",
  "state": "optimized geometry",
  "lattice": [[5.268, 0.038, 0.000], [2.513, 4.629, 0.000], [-3.344, -3.245, 2.457]],
  "species": ["Fe", "Mo", "Cl", "Mo"],
  "frac_coords": [[0.250, 0.750, 0.500], [0.978, 0.978, 0.000], [0.750, 0.250, 0.500], [0.522, 0.522, 0.000]],
  "raw_formation_energy_mev_per_atom": 675.6,
  "e_above_lowest_polymorph_ev_per_atom": 0.3907
}

{
  "formula": "ThCdGe2Pt5",
  "functional": "GGA-PBE",
  "state": "optimized geometry",
  "lattice": [[4.433, 0.000, 0.000], [0.000, 4.433, 0.000], [0.000, 0.000, 8.372]],
  "species": ["Ge", "Pt", "Pt", "Th", "Ge", "Pt", "Cd", "Pt", "Pt"],
  "frac_coords": [[0.500, 0.500, 0.852], [0.000, 0.500, 0.721], [0.500, 0.000, 0.721], [0.000, 0.000, 0.000], [0.500, 0.500, 0.148], [0.000, 0.500, 0.279], [0.000, 0.000, 0.500], [0.500, 0.500, 0.500], [0.500, 0.000, 0.279]],
  "formation_energy_ev_per_fu": -5.70
}

{
  "formula": "Be2CrCu",
  "functional": "GGA-PBE",
  "state": "optimized geometry",
  "lattice": [[4.256, 0.018, 0.000], [-1.183, 4.089, 0.000], [0.000, 0.000, 2.308]],
  "species": ["Be", "Cu", "Be", "Cr"],
  "frac_coords": [[0.000, 0.000, 0.000], [0.000, 0.500, 0.500], [0.500, 0.500, 0.000], [0.500, 0.000, 0.500]],
  "formation_energy_ev_per_fu": 0.39
}

{
  "formula": "AcNdZnIn",
  "functional": "GGA-PBE",
  "state": "optimized geometry",
  "lattice": [[3.863, 0.000, 0.000], [0.000, 3.863, 0.000], [0.000, 0.000, 7.923]],
  "species": ["Zn", "Nd", "In", "Ac"],
  "frac_coords": [[0.500, 0.500, 0.581], [0.000, 0.000, 0.376], [0.500, 0.500, 0.130], [0.000, 0.000, 0.840]],
  "e_above_lowest_polymorph_ev_per_atom": 0.0000,
  "formation_energy_ev_per_fu": -1.43
}

{
  "formula": "Tl6PtBr12",
  "functional": "GGA-PBE",
  "state": "optimized geometry",
  "lattice": [[9.012, 0.571, -0.561], [-0.631, 9.008, -0.561], [0.500, 0.571, 9.016]],
  "species": ["Br", "Br", "Pt", "Br", "Tl", "Br", "Br", "Tl", "Br", "Tl", "Tl", "Br", "Br", "Br", "Tl", "Br", "Br", "Tl", "Br"],
  "frac_coords": [[0.426, 0.169, 0.584], [0.169, 0.584, 0.426], [0.000, 0.000, 0.000], [0.017, 0.987, 0.276], [0.307, 0.839, 0.641], [0.831, 0.416, 0.574], [0.013, 0.724, 0.983], [0.693, 0.161, 0.359], [0.724, 0.983, 0.013], [0.839, 0.641, 0.307], [0.359, 0.693, 0.161], [0.987, 0.276, 0.017], [0.416, 0.574, 0.831], [0.983, 0.013, 0.724], [0.641, 0.307, 0.839], [0.584, 0.426, 0.169], [0.276, 0.017, 0.987], [0.161, 0.359, 0.693], [0.574, 0.831, 0.416]],
  "raw_formation_energy_mev_per_atom": -564.8
}